Entry from Alexandria via LeMat-Bulk: a geometry-optimized CsSeF4 structure (GGA-PBE).

The calculation puts the distance to the lowest polymorph of the same formula at 0 meV/atom. Its formation energy from raw total energies is -1.964 eV/atom. Its calculated volume is 170.3 Å³/f.u.

The structure belongs to space group I-4m2 (No. 119); the cell edges are 7.623, 7.623 and 5.863 Å and the angles 90.00°, 90.00° and 90.00°. The distinct sites, in fractional coordinates, are Cs at (0.000, 0.000, 0.000), Se at (0.000, 0.500, 0.250) and F at (0.179, 0.321, 0.250).